A relaxed structure of Cs2PuCoO6. Source: Alexandria via LeMat-Bulk, functional PBE with a Hubbard U.

Geometry as extended XYZ:
```
10
Lattice="6.586 0.000 0.000 -3.293 5.704 0.000 0.000 0.000 5.305" Properties=species:S:1:pos:R:3 pbc="T T T"
Cs 0.000 3.802 0.955
Cs 3.293 1.901 4.350
Pu 0.000 0.000 2.652
Co 0.000 0.000 0.000
O 0.000 1.486 4.035
O -2.006 4.961 4.035
O 1.287 0.743 1.269
O 2.006 4.961 4.035
O 5.299 0.743 1.269
O 3.293 4.218 1.269
```

E = -6.88 eV per atom